This record from Alexandria via LeMat-Bulk describes Ba2Be after structural relaxation. The functional is PBE-GGA.

The mass density is 3.613 g cm⁻³. The calculation puts the energy above the most stable polymorph in this dataset at 824 meV/atom. As for the uncorrected energy: -32.2 eV per cell. The formation energy comes out at 1182 meV/atom.

The structure belongs to space group Fd-3m (No. 227, origin choice 2); the cell edges are 10.142, 10.142 and 10.142 Å and the angles 90.00°, 90.00° and 90.00°. The distinct sites, in fractional coordinates, are Ba at (0.000, 0.000, 0.000) and Be at (0.125, 0.125, 0.625).